The following is a GGA-PBE calculation of Ti2NbAs after structural relaxation, from Alexandria.

Lattice parameters (Å, degrees): 3.3774 3.3774 21.8269 90.00 90.00 120.00
Closest atoms and distances in Å follow each position.
Space group R3m (No. 160, hexagonal axes)
One atom of each set of equivalent atoms:
Ti 0.0000 0.0000 0.0000  3 As 2.54, 3 Nb 2.82
Ti 0.0000 0.0000 0.1838  3 As 2.54, 3 Nb 2.77
Nb 0.0000 0.0000 0.4267  6 Ti 2.77-2.82
As 0.0000 0.0000 0.5919  6 Ti 2.54

Calculated values
DFT total energy = -7.79 eV per atom
energy relative to the elements = -0.1621 eV/atom
total magnetic moment = 0.00 μB/f.u.

***

The following is a GGA-PBE calculation of Ca3AlGa2 after structural relaxation, from Alexandria.

Lattice parameters (Å, degrees): 7.8785 12.9875 6.6154 90.00 90.00 90.00
Closest atoms and distances in Å follow each position.
Space group Ibam (No. 72)
One atom of each set of equivalent atoms:
Ca 0.0000 0.0000 0.2500  4 Ga 3.07, 2 Ca 3.31
Ca 0.1559 0.3153 0.0000  2 Ga 3.04-3.11, 2 Al 3.16
Al 0.0000 0.5000 0.2500  4 Ga 2.66
Ga 0.2113 0.4043 0.5000  2 Al 2.66

Calculated values
DFT total energy = -2.93 eV per atom
energy relative to the elements = -0.2985 eV/atom
offset from the most stable computed form = 0 meV/atom
total magnetic moment = 0.00 μB/f.u.

***

Copy entry 1 word for word.
The following is a GGA-PBE calculation of Ti2NbAs after structural relaxation, from Alexandria.

Lattice parameters (Å, degrees): 3.3774 3.3774 21.8269 90.00 90.00 120.00
Closest atoms and distances in Å follow each position.
Space group R3m (No. 160, hexagonal axes)
One atom of each set of equivalent atoms:
Ti 0.0000 0.0000 0.0000  3 As 2.54, 3 Nb 2.82
Ti 0.0000 0.0000 0.1838  3 As 2.54, 3 Nb 2.77
Nb 0.0000 0.0000 0.4267  6 Ti 2.77-2.82
As 0.0000 0.0000 0.5919  6 Ti 2.54

Calculated values
DFT total energy = -7.79 eV per atom
energy relative to the elements = -0.1621 eV/atom
total magnetic moment = 0.00 μB/f.u.